1.
## VSi2Bi (PBE-GGA)

Data for VSi2Bi after structural relaxation.

The formation energy from raw total energies comes out at 0.4543 eV per atom. Its total DFT energy (no corrections) is -5.507 eV/atom.

The space group is I-42d (No. 122) and the conventional cell measures 4.510, 4.510 and 16.980 Å, with angles of 90.00, 90.00 and 90.00 degrees. The asymmetric unit holds V at (0.000, 0.000, 0.000), Si at (0.108, 0.250, 0.125) and Bi at (0.000, 0.000, 0.500).


2.
## ZrVSi2Bi (PBE-GGA)

Data for ZrVSi2Bi after structural relaxation.

The formation energy from raw total energies comes out at 1.6006 eV per atom. Its total DFT energy (no corrections) is -4.878 eV/atom.

The space group is P4/mmm (No. 123) and the conventional cell measures 5.232, 5.232 and 4.955 Å, with angles of 90.00, 90.00 and 90.00 degrees. The asymmetric unit holds Zr at (0.000, 0.000, 0.000), V at (0.500, 0.500, 0.000), Si at (0.000, 0.500, 0.500) and Bi at (0.500, 0.500, 0.500).


3.
## YSi2Bi2 (PBE-GGA)

Data for YSi2Bi2 after structural relaxation.

The formation energy from raw total energies comes out at -0.0210 eV per atom. Its total DFT energy (no corrections) is -5.035 eV/atom.

The space group is P4/mbm (No. 127) and the conventional cell measures 7.518, 7.518 and 4.360 Å, with angles of 90.00, 90.00 and 90.00 degrees. The asymmetric unit holds Y at (0.000, 0.000, 0.000), Si at (0.115, 0.385, 0.000) and Bi at (0.187, 0.687, 0.500).


4.
## Y3SiBi (PBE-GGA)

Data for Y3SiBi after structural relaxation.

The formation energy from raw total energies comes out at -0.4408 eV per atom. Its total DFT energy (no corrections) is -6.180 eV/atom.

The space group is Pm-3m (No. 221) and the conventional cell measures 5.362, 5.362 and 5.362 Å, with angles of 90.00, 90.00 and 90.00 degrees. The asymmetric unit holds Y at (0.000, 0.000, 0.500), Si at (0.000, 0.000, 0.000) and Bi at (0.500, 0.500, 0.500).


5.
## YSi3Bi (PBE-GGA)

Data for YSi3Bi after structural relaxation.

The formation energy from raw total energies comes out at 1.1150 eV per atom. Its total DFT energy (no corrections) is -4.208 eV/atom.

The space group is Pm-3m (No. 221) and the conventional cell measures 5.277, 5.277 and 5.277 Å, with angles of 90.00, 90.00 and 90.00 degrees. The asymmetric unit holds Y at (0.000, 0.000, 0.000), Si at (0.000, 0.500, 0.500) and Bi at (0.500, 0.500, 0.500).


6.
## Y2SiBi (PBE-GGA)

Data for Y2SiBi after structural relaxation.

The formation energy from raw total energies comes out at -0.4783 eV per atom. Its total DFT energy (no corrections) is -6.036 eV/atom.

The space group is I-42d (No. 122) and the conventional cell measures 8.018, 8.018 and 6.933 Å, with angles of 90.00, 90.00 and 90.00 degrees. The asymmetric unit holds Y at (0.220, 0.750, 0.125), Si at (0.000, 0.000, 0.000) and Bi at (0.000, 0.000, 0.500).


7.
## Y6Si2Bi (PBE-GGA)

Data for Y6Si2Bi after structural relaxation.

The formation energy from raw total energies comes out at -0.5980 eV per atom. Its total DFT energy (no corrections) is -6.544 eV/atom.

The space group is Immm (No. 71) and the conventional cell measures 9.526, 9.649 and 10.470 Å, with angles of 90.00, 90.00 and 90.00 degrees. The asymmetric unit holds Y at (0.000, 0.210, 0.242), Y at (0.200, 0.500, 0.180), Y at (0.220, 0.314, 0.500), Si at (0.000, 0.371, 0.000), Si at (0.000, 0.500, 0.385), Bi at (0.000, 0.000, 0.000) and Bi at (0.000, 0.000, 0.500).


8.
## Y6SiBi2 (PBE-GGA)

Data for Y6SiBi2 after structural relaxation.

The formation energy from raw total energies comes out at -0.2523 eV per atom. Its total DFT energy (no corrections) is -6.027 eV/atom.

The space group is P4_2/mnm (No. 136) and the conventional cell measures 6.957, 6.957 and 13.312 Å, with angles of 90.00, 90.00 and 90.00 degrees. The asymmetric unit holds Y at (0.195, 0.195, 0.148), Y at (0.217, 0.217, 0.500), Si at (0.000, 0.000, 0.000) and Bi at (0.000, 0.000, 0.329).


total DFT energy (no corrections) of number 1 (VSi2Bi)?
-5.507 eV/atom


Among the records above, which one has the lowest formation energy from raw total energies?
Y6Si2Bi